No. 1
A relaxed K4U3ZnN8 crystal, computed with GGA-PBE.

Summary:
Uncorrected energy   -7.379 eV per atom
Energy relative to the elements, uncorrected   -11.9 eV/f.u.
Crystal system   monoclinic

abc: 12.056 6.922 7.514
angles: 90.00 122.15 90.00
Space group C2/m (No. 12)
One atom of each set of equivalent atoms:
K 0.000 0.000 0.000
K 0.000 0.500 0.000
K 0.250 0.250 0.000
U 0.000 0.000 0.500
U 0.250 0.250 0.500
Zn 0.000 0.500 0.500
N 0.036 0.228 0.337
N 0.221 0.000 0.664
N 0.238 0.500 0.665

***

No. 2
A relaxed ScTl2Bi crystal, computed with GGA-PBE.

Summary:
Uncorrected energy   -3.739 eV per atom
Crystal system   tetragonal
E_form   -3 meV per atom

abc: 8.649 8.649 6.196
angles: 90.00 90.00 90.00
Space group I-42d (No. 122)
One atom of each set of equivalent atoms:
Sc 0.000 0.000 0.000
Tl 0.237 0.250 0.125
Bi 0.000 0.000 0.500

***

No. 3
A relaxed Ca3Sm2MgTe6 crystal, computed with GGA-PBE.

Summary:
Uncorrected energy   -4.374 eV per atom
Energy relative to the elements, uncorrected   -16.6 eV/f.u.
Crystal system   monoclinic

abc: 7.721 13.370 7.675
angles: 90.00 109.64 90.00
Space group C2/m (No. 12)
One atom of each set of equivalent atoms:
Ca 0.000 0.000 0.000
Ca 0.000 0.329 0.000
Sm 0.000 0.165 0.500
Mg 0.000 0.500 0.500
Te 0.238 0.500 0.256
Te 0.241 0.339 0.742

***

No. 4
A relaxed Mg2ZrAu2 crystal, computed with GGA-PBE.

Summary:
Uncorrected energy   -4.048 eV per atom
Crystal system   tetragonal
E_form   -390 meV per atom

abc: 7.438 7.438 3.657
angles: 90.00 90.00 90.00
Space group P4/mbm (No. 127)
One atom of each set of equivalent atoms:
Mg 0.162 0.338 0.000
Zr 0.000 0.000 0.500
Au 0.138 0.638 0.500

***

No. 5
A relaxed YSbRuBr2 crystal, computed with GGA-PBE.

Summary:
Uncorrected energy   -4.372 eV per atom
Energy relative to the elements, uncorrected   1.4 eV/f.u.
Crystal system   tetragonal

abc: 5.316 5.316 6.364
angles: 90.00 90.00 90.00
Space group P4/mmm (No. 123)
One atom of each set of equivalent atoms:
Y 0.000 0.000 0.000
Sb 0.000 0.000 0.500
Ru 0.500 0.500 0.500
Br 0.000 0.500 0.000

***

No. 6
A relaxed GdTm2Hf crystal, computed with GGA-PBE.

Summary:
Uncorrected energy   -8.117 eV per atom
Crystal system   tetragonal
E_form   128 meV per atom

abc: 4.811 4.811 4.810
angles: 90.00 90.00 90.00
Space group P4/mmm (No. 123)
One atom of each set of equivalent atoms:
Gd 0.000 0.000 0.000
Tm 0.000 0.500 0.500
Hf 0.500 0.500 0.000

***

No. 7
A relaxed Tm3Zn2Pb crystal, computed with GGA-PBE.

Summary:
Uncorrected energy   -3.644 eV per atom
Crystal system   tetragonal
E_form   -365 meV per atom

abc: 3.548 3.548 11.269
angles: 90.00 90.00 90.00
Space group P4/mmm (No. 123)
One atom of each set of equivalent atoms:
Tm 0.000 0.000 0.000
Tm 0.000 0.000 0.305
Zn 0.500 0.500 0.149
Pb 0.500 0.500 0.500

***

No. 8
A relaxed HfSc2TaBr crystal, computed with GGA-PBE.

Summary:
Uncorrected energy   -6.801 eV per atom
Energy relative to the elements, uncorrected   2.1 eV/f.u.
Crystal system   tetragonal

abc: 4.856 4.856 4.869
angles: 90.00 90.00 90.00
Space group P4/mmm (No. 123)
One atom of each set of equivalent atoms:
Hf 0.000 0.000 0.000
Sc 0.000 0.500 0.500
Ta 0.500 0.500 0.000
Br 0.500 0.500 0.500

***

No. 9
A relaxed AcTb12Tm5 crystal, computed with GGA-PBE.

Summary:
Uncorrected energy   -4.526 eV per atom
Crystal system   orthorhombic
E_form   31 meV per atom

abc: 15.116 15.138 5.029
angles: 90.00 90.00 90.00
Space group Cmmm (No. 65)
One atom of each set of equivalent atoms:
Ac 0.000 0.000 0.000
Tb 0.165 0.334 0.500
Tb 0.165 0.500 0.000
Tb 0.168 0.169 0.000
Tb 0.172 0.000 0.500
Tm 0.000 0.172 0.500
Tm 0.000 0.334 0.000
Tm 0.000 0.500 0.500

***

No. 10
A relaxed CuHgTe2 crystal, computed with GGA-PBE.

Summary:
Uncorrected energy   -2.749 eV per atom
Energy relative to the elements, uncorrected   -0.3 eV/f.u.
Crystal system   monoclinic

abc: 4.385 6.249 8.887
angles: 90.00 90.01 90.00
Space group P2_1 (No. 4)
One atom of each set of equivalent atoms:
Cu 0.250 0.000 0.114
Hg 0.251 0.025 0.640
Te 0.249 0.227 0.353
Te 0.250 0.286 0.902

***

No. 11
A relaxed BaNaTlS3 crystal, computed with GGA-PBE.

Summary:
Uncorrected energy   -4.004 eV per atom
Energy relative to the elements, uncorrected   -6.0 eV/f.u.
Crystal system   orthorhombic

abc: 4.253 14.364 10.837
angles: 90.00 90.00 90.00
Space group Cmcm (No. 63)
One atom of each set of equivalent atoms:
Ba 0.000 0.249 0.250
Na 0.000 0.500 0.000
Tl 0.000 0.032 0.750
S 0.000 0.142 0.570
S 0.000 0.422 0.750

***

No. 12
A relaxed CaV2Fe crystal, computed with GGA-PBE.

Summary:
Uncorrected energy   -6.199 eV per atom
Crystal system   tetragonal
E_form   977 meV per atom

abc: 4.520 4.520 16.423
angles: 90.00 90.00 90.00
Space group I4_1/amd (No. 141, origin choice 2)
One atom of each set of equivalent atoms:
Ca 0.000 0.250 0.375
V 0.000 0.000 0.000
Fe 0.000 0.250 0.875